No. 1
A relaxed structure of Cs2C, computed with PBE.

Lattice parameters (Å, degrees): 5.687 5.687 4.227 90.00 90.00 90.00
Space group P4/mmm (No. 123)
Symmetry-distinct sites (fractional):
Cs: 0.000 0.500 0.000
C: 0.000 0.000 0.500

Output
The formation energy is 1.518 eV per atom. For the calculated volume, the calculation gives 45.6 Å³ per atom.



No. 2
A relaxed structure of CaNd2Lu, computed with PBE.

Lattice parameters (Å, degrees): 4.039 4.039 8.737 90.00 90.00 90.00
Space group P4/mmm (No. 123)
Symmetry-distinct sites (fractional):
Ca: 0.000 0.000 0.000
Nd: 0.500 0.500 0.281
Lu: 0.000 0.000 0.500

Output
The formation energy is 0.068 eV per atom. For the calculated volume, the calculation gives 35.6 Å³ per atom.



No. 3
A relaxed structure of Y2HfZnTc, computed with PBE.

Lattice parameters (Å, degrees): 5.196 5.196 4.967 90.00 90.00 90.00
Space group P4/mmm (No. 123)
Symmetry-distinct sites (fractional):
Y: 0.000 0.500 0.000
Hf: 0.000 0.000 0.500
Zn: 0.000 0.000 0.000
Tc: 0.500 0.500 0.500

Output
The formation energy is 0.949 eV per atom. For the calculated volume, the calculation gives 26.8 Å³ per atom.